(1)
Computed, not measured: crystalline Pm12Tl3Cu at its relaxed geometry at the GGA-PBE level of DFT.

Properties
**E**: -4.382 eV/atom
**ΔH_f (0 K)**: -0.119 eV per atom
**Total moment**: 0.00 μB per atom

Cell lengths 4.9522, 4.9522, 19.5153 Å; angles 90.00, 90.00, 90.00 degrees
Last column: nearest neighbours and their distance in Å.
Positions (direct):
Pm 0.0000 0.0000 0.0000  8 Pm 3.36, 4 Cu 3.50
Pm 0.0000 0.0000 0.2421  8 Pm 3.49-3.54, 4 Tl 3.50
Pm 0.0000 0.0000 0.5000  4 Tl 3.50, 8 Pm 3.52
Pm 0.0000 0.0000 0.7579  8 Pm 3.49-3.54, 4 Tl 3.50
Pm 0.0000 0.5000 0.1163  2 Cu 3.36, 8 Pm 3.36-3.50, 2 Tl 3.53
Pm 0.0000 0.5000 0.3717  4 Tl 3.50-3.52, 8 Pm 3.50-3.54
Pm 0.0000 0.5000 0.6283  4 Tl 3.50-3.52, 8 Pm 3.50-3.54
Pm 0.0000 0.5000 0.8837  2 Cu 3.36, 8 Pm 3.36-3.50, 2 Tl 3.53
Pm 0.5000 0.0000 0.1163  2 Cu 3.36, 8 Pm 3.36-3.50, 2 Tl 3.53
Pm 0.5000 0.0000 0.3717  4 Tl 3.50-3.52, 8 Pm 3.50-3.54
Pm 0.5000 0.0000 0.6283  4 Tl 3.50-3.52, 8 Pm 3.50-3.54
Pm 0.5000 0.0000 0.8837  2 Cu 3.36, 8 Pm 3.36-3.50, 2 Tl 3.53
Tl 0.5000 0.5000 0.2449  12 Pm 3.50-3.53
Tl 0.5000 0.5000 0.5000  12 Pm 3.50-3.52
Tl 0.5000 0.5000 0.7551  12 Pm 3.50-3.53
Cu 0.5000 0.5000 0.0000  12 Pm 3.36-3.50

(2)
Computed, not measured: crystalline Pm4Tl3Cu at its relaxed geometry at the GGA-PBE level of DFT.

Properties
**E**: -4.100 eV/atom
**ΔH_f (0 K)**: -0.325 eV per atom
**Total moment**: 0.00 μB per atom

Cell lengths 3.6619, 3.6619, 16.4948 Å; angles 90.00, 90.00, 90.00 degrees
Last column: nearest neighbours and their distance in Å.
Positions (direct):
Pm 0.0000 0.0000 0.1047  4 Cu 3.11, 4 Tl 3.38, 1 Pm 3.45
Pm 0.0000 0.0000 0.3684  8 Tl 3.38-3.39, 4 Pm 3.66
Pm 0.0000 0.0000 0.6316  8 Tl 3.38-3.39, 4 Pm 3.66
Pm 0.0000 0.0000 0.8953  4 Cu 3.11, 4 Tl 3.38, 1 Pm 3.45
Tl 0.5000 0.5000 0.2361  8 Pm 3.38-3.39, 4 Tl 3.66
Tl 0.5000 0.5000 0.5000  8 Pm 3.38, 4 Tl 3.66
Tl 0.5000 0.5000 0.7639  8 Pm 3.38-3.39, 4 Tl 3.66
Cu 0.5000 0.5000 0.0000  8 Pm 3.11

(3)
Computed, not measured: crystalline Pm8TlCu2 at its relaxed geometry at the GGA-PBE level of DFT.

Properties
**E**: -4.455 eV/atom
**ΔH_f (0 K)**: -0.040 eV per atom
**Total moment**: 0.00 μB per atom

Cell lengths 8.2337, 8.2337, 5.5368 Å; angles 98.86, 98.86, 114.91 degrees
Last column: nearest neighbours and their distance in Å.
Positions (direct):
Pm 0.0776 0.3239 0.5785  2 Cu 2.96-3.09
Pm 0.2432 0.7568 0.0000  2 Cu 2.91
Pm 0.3239 0.0776 0.5785  2 Cu 2.96-3.09
Pm 0.3967 0.3967 0.1939  2 Cu 3.15, 2 Pm 3.20-3.36, 1 Tl 3.37
Pm 0.6033 0.6033 0.8061  2 Cu 3.15, 2 Pm 3.20-3.36, 1 Tl 3.37
Pm 0.6761 0.9224 0.4215  2 Cu 2.96-3.09
Pm 0.7568 0.2432 0.0000  2 Cu 2.91
Pm 0.9224 0.6761 0.4215  2 Cu 2.96-3.09
Tl 0.0000 0.0000 0.0000  12 Pm 3.37-3.73
Cu 0.3083 0.6917 0.5000  8 Pm 2.91-3.15
Cu 0.6917 0.3083 0.5000  8 Pm 2.91-3.15

(4)
Computed, not measured: crystalline Pm3Tl4Cu2 at its relaxed geometry at the GGA-PBE level of DFT.

Properties
**E**: -3.789 eV/atom
**ΔH_f (0 K)**: -0.244 eV per atom
**Total moment**: 0.00 μB per atom

Cell lengths 6.1046, 6.1046, 9.2253 Å; angles 112.07, 112.07, 46.59 degrees
Last column: nearest neighbours and their distance in Å.
Positions (direct):
Pm 0.0000 0.0000 0.0000  8 Tl 3.21-3.42, 4 Cu 3.37
Pm 0.3324 0.3324 0.3492  4 Cu 3.20-3.40, 7 Tl 3.27-3.41
Pm 0.6676 0.6676 0.6508  4 Cu 3.20-3.40, 7 Tl 3.27-3.41
Tl 0.0461 0.0461 0.3673  2 Cu 2.70, 1 Tl 3.02
Tl 0.2687 0.2687 0.9130  1 Cu 2.71, 2 Tl 3.02
Tl 0.7313 0.7313 0.0870  1 Cu 2.71, 2 Tl 3.02
Tl 0.9539 0.9539 0.6327  2 Cu 2.70, 1 Tl 3.02
Cu 0.3982 0.3982 0.7208  3 Tl 2.70-2.71
Cu 0.6018 0.6018 0.2792  3 Tl 2.70-2.71

(5)
Computed, not measured: crystalline Pm5Tl4Cu at its relaxed geometry at the GGA-PBE level of DFT.

Properties
**E**: -4.075 eV/atom
**ΔH_f (0 K)**: -0.344 eV per atom
**Total moment**: 0.01 μB per atom

Cell lengths 3.6673, 3.6673, 20.7915 Å; angles 90.00, 90.00, 90.00 degrees
Last column: nearest neighbours and their distance in Å.
Positions (direct):
Pm 0.0000 0.0000 0.0000  8 Tl 3.38, 4 Pm 3.67
Pm 0.0000 0.0000 0.2080  8 Tl 3.37-3.39, 4 Pm 3.67
Pm 0.0000 0.0000 0.4167  4 Cu 3.12, 4 Tl 3.37, 1 Pm 3.46
Pm 0.0000 0.0000 0.5833  4 Cu 3.12, 4 Tl 3.37, 1 Pm 3.46
Pm 0.0000 0.0000 0.7920  8 Tl 3.37-3.39, 4 Pm 3.67
Tl 0.5000 0.5000 0.1043  8 Pm 3.37-3.38, 4 Tl 3.67
Tl 0.5000 0.5000 0.3130  8 Pm 3.37-3.39, 4 Tl 3.67
Tl 0.5000 0.5000 0.6870  8 Pm 3.37-3.39, 4 Tl 3.67
Tl 0.5000 0.5000 0.8957  8 Pm 3.37-3.38, 4 Tl 3.67
Cu 0.5000 0.5000 0.5000  8 Pm 3.12

(6)
Computed, not measured: crystalline Pm8Tl2Cu at its relaxed geometry at the GGA-PBE level of DFT.

Properties
**E**: -4.397 eV/atom
**ΔH_f (0 K)**: -0.139 eV per atom
**Total moment**: 0.00 μB per atom

Cell lengths 9.9935, 9.9935, 6.8872 Å; angles 104.24, 104.24, 30.33 degrees
Last column: nearest neighbours and their distance in Å.
Positions (direct):
Pm 0.0137 0.0137 0.2783  2 Cu 3.07, 1 Pm 3.23, 1 Tl 3.29
Pm 0.2086 0.2086 0.8096  3 Tl 3.21-3.46, 2 Pm 3.44
Pm 0.3503 0.3503 0.5148  1 Cu 2.92, 2 Tl 3.21
Pm 0.4095 0.4095 0.0371  1 Cu 3.22, 3 Pm 3.45-3.49, 2 Tl 3.48
Pm 0.5905 0.5905 0.9629  1 Cu 3.22, 3 Pm 3.45-3.49, 2 Tl 3.48
Pm 0.6497 0.6497 0.4852  1 Cu 2.92, 2 Tl 3.21
Pm 0.7914 0.7914 0.1904  3 Tl 3.21-3.46, 2 Pm 3.44
Pm 0.9863 0.9863 0.7217  2 Cu 3.07, 1 Pm 3.23, 1 Tl 3.29
Tl 0.1816 0.1816 0.2507  9 Pm 3.21-3.48
Tl 0.8184 0.8184 0.7493  9 Pm 3.21-3.48
Cu 0.5000 0.5000 0.5000  8 Pm 2.92-3.22

(7)
Computed, not measured: crystalline Pm3TlCu2 at its relaxed geometry at the GGA-PBE level of DFT.

Properties
**E**: -4.358 eV/atom
**ΔH_f (0 K)**: -0.223 eV per atom
**Total moment**: 0.06 μB per atom

Cell lengths 3.5934, 3.5934, 11.5545 Å; angles 90.00, 90.00, 90.00 degrees
Last column: nearest neighbours and their distance in Å.
Positions (direct):
Pm 0.0000 0.0000 0.0000  8 Cu 3.09
Pm 0.0000 0.0000 0.3077  4 Cu 3.11, 4 Tl 3.38
Pm 0.0000 0.0000 0.6923  4 Cu 3.11, 4 Tl 3.38
Tl 0.5000 0.5000 0.5000  8 Pm 3.38, 4 Tl 3.59
Cu 0.5000 0.5000 0.1521  8 Pm 3.09-3.11
Cu 0.5000 0.5000 0.8479  8 Pm 3.09-3.11

(8)
Computed, not measured: crystalline Pm6TlCu at its relaxed geometry at the GGA-PBE level of DFT.

Properties
**E**: -4.279 eV/atom
**ΔH_f (0 K)**: 0.092 eV per atom
**Total moment**: 0.00 μB per atom

Cell lengths 6.9048, 6.9048, 6.8630 Å; angles 102.90, 102.90, 117.57 degrees
Last column: nearest neighbours and their distance in Å.
Positions (direct):
Pm 0.0060 0.4146 0.2415  1 Cu 2.95, 1 Tl 3.18
Pm 0.2314 0.2314 0.7787  1 Cu 2.69
Pm 0.4146 0.0060 0.2415  1 Cu 2.95, 1 Tl 3.18
Pm 0.5854 0.9940 0.7585  1 Cu 2.95, 1 Tl 3.18
Pm 0.7686 0.7686 0.2213  1 Cu 2.69
Pm 0.9940 0.5854 0.7585  1 Cu 2.95, 1 Tl 3.18
Tl 0.5000 0.5000 0.5000  6 Pm 3.18-3.24
Cu 0.0000 0.0000 0.0000  6 Pm 2.69-2.95